! MgIrI2O (PBE-GGA, optimized geometry); values from VASP
! SG   P4/mmm, No. 123
! DOS(E_F)   1.0882 states/eV per atom
! Energy relative to the elements, uncorrected   286 meV per atom
! Energy above the lowest structure with this stoichiometry   2.37 eV/f.u.
! Total magnetic moment   0.00 μB per formula unit
&SYSTEM
  ibrav = 0, nat = 5, ntyp = 4
/
ATOMIC_SPECIES
O 16.00 O.upf
Ir 192.22 Ir.upf
I 126.90 I.upf
Mg 24.30 Mg.upf
CELL_PARAMETERS angstrom
5.540 0.000 0.000
0.000 5.540 0.000
0.000 0.000 3.578
ATOMIC_POSITIONS crystal
O 0.000 0.000 0.500
Ir 0.500 0.500 0.500
I 0.000 0.500 0.000
I 0.500 0.000 0.000
Mg 0.000 0.000 0.000